Entry 1:
First-principles (GGA-PBE) data for LaAl4Cl after structural relaxation, as listed in Alexandria via LeMat-Bulk.

Unit cell a=5.705 b=5.705 c=5.705 alpha=60.00 beta=60.00 gamma=60.00
Sites, in units of the cell vectors:
Al (0.373, 0.373, 0.373)
Al (0.880, 0.373, 0.373)
Al (0.373, 0.880, 0.373)
Cl (0.750, 0.750, 0.750)
La (0.000, 0.000, 0.000)
Al (0.373, 0.373, 0.880)

## Properties
Raw total energy (eV/cell): -23.3
ρ (g/cm3): 3.6



Entry 2:
First-principles (GGA-PBE) data for La4AlCl3 after structural relaxation, as listed in Alexandria via LeMat-Bulk.

Unit cell a=6.008 b=6.008 c=6.008 alpha=90.00 beta=90.00 gamma=90.00
Sites, in units of the cell vectors:
La (0.000, 0.000, 0.500)
Cl (0.500, 0.000, 0.500)
Cl (0.500, 0.500, 0.000)
La (0.500, 0.000, 0.000)
La (0.000, 0.500, 0.000)
Cl (0.000, 0.500, 0.500)
Al (0.000, 0.000, 0.000)
La (0.500, 0.500, 0.500)

## Properties
Raw total energy (eV/cell): -39.1
ρ (g/cm3): 5.3



Entry 3:
First-principles (GGA-PBE) data for La4AlCl after structural relaxation, as listed in Alexandria via LeMat-Bulk.

Unit cell a=6.476 b=6.476 c=6.476 alpha=60.00 beta=60.00 gamma=60.00
Sites, in units of the cell vectors:
Al (0.750, 0.750, 0.750)
Cl (0.000, 0.000, 0.000)
La (0.378, 0.378, 0.865)
La (0.378, 0.865, 0.378)
La (0.378, 0.378, 0.378)
La (0.865, 0.378, 0.378)

## Properties
Raw total energy (eV/cell): -24.7
ρ (g/cm3): 5.3



Entry 4:
First-principles (GGA-PBE) data for LaAlCl after structural relaxation, as listed in Alexandria via LeMat-Bulk.

Unit cell a=8.430 b=8.431 c=3.506 alpha=77.99 beta=78.00 gamma=24.01
Last column: magnetic moment on the atom in μB.
Sites, in units of the cell vectors:
Cl (0.282, 0.282, 0.718)  0.01
Al (0.044, 0.044, 0.956)  0.01
La (0.674, 0.674, 0.326)  0.14

## Properties
Raw total energy (eV/cell): -12.7
ρ (g/cm3): 3.4



Entry 5:
First-principles (GGA-PBE) data for La5AlCl5 after structural relaxation, as listed in Alexandria via LeMat-Bulk.

Unit cell a=5.917 b=7.193 c=8.464 alpha=106.35 beta=90.00 gamma=114.29
Sites, in units of the cell vectors:
La (0.166, 0.331, 0.333)
La (0.500, 0.000, 0.000)
La (0.834, 0.669, 0.667)
Cl (0.342, 0.684, 0.186)
La (0.825, 0.650, 0.161)
Al (0.000, 0.000, 0.000)
Cl (0.658, 0.316, 0.814)
Cl (0.000, 0.000, 0.500)
Cl (0.652, 0.303, 0.344)
La (0.175, 0.350, 0.839)
Cl (0.348, 0.697, 0.656)

## Properties
Raw total energy (eV/cell): -54.1
ρ (g/cm3): 4.8



Entry 6:
First-principles (GGA-PBE) data for La3AlCl after structural relaxation, as listed in Alexandria via LeMat-Bulk.

Unit cell a=5.427 b=5.427 c=5.427 alpha=90.00 beta=90.00 gamma=90.00
Sites, in units of the cell vectors:
La (0.000, 0.500, 0.000)
La (0.500, 0.000, 0.000)
Cl (0.000, 0.000, 0.000)
La (0.000, 0.000, 0.500)
Al (0.500, 0.500, 0.500)

## Properties
Energy above the most stable polymorph in this dataset (meV/atom): 196.4
ρ (g/cm3): 5.0



Entry 7:
First-principles (GGA-PBE) data for La3AlCl after structural relaxation, as listed in Alexandria via LeMat-Bulk.

Unit cell a=4.431 b=7.848 c=9.422 alpha=81.37 beta=90.00 gamma=73.60
Last column: magnetic moment on the atom in μB.
Sites, in units of the cell vectors:
La (0.278, 0.801, 0.961)  0.00
La (0.805, 0.745, 0.653)  0.00
Al (0.629, 0.099, 0.873)  0.00
La (0.004, 0.347, 0.999)  0.05
Cl (0.851, 0.653, 0.155)  0.00
Cl (0.232, 0.892, 0.459)  0.00
La (0.407, 0.542, 0.357)  0.06
Al (0.454, 0.447, 0.741)  0.00
La (0.079, 0.198, 0.614)  0.05
La (0.676, 0.004, 0.257)  0.06

## Properties
Energy above the most stable polymorph in this dataset (meV/atom): 0.0
ρ (g/cm3): 5.1



Entry 8:
First-principles (GGA-PBE) data for La2Al4Cl after structural relaxation, as listed in Alexandria via LeMat-Bulk.

Unit cell a=4.918 b=4.918 c=8.588 alpha=73.36 beta=73.36 gamma=90.00
Sites, in units of the cell vectors:
Al (0.844, 0.844, 0.312)
La (0.646, 0.646, 0.707)
Al (0.500, 0.000, 0.000)
Al (0.000, 0.500, 0.000)
La (0.354, 0.354, 0.293)
Al (0.156, 0.156, 0.688)
Cl (0.000, 0.000, 0.000)

## Properties
Raw total energy (eV/cell): -26.0
ρ (g/cm3): 3.7